[1]
This record from the Alexandria database describes a relaxed Pu4Al crystal. The functional is PBE-GGA.

Structure (POSCAR):
```
Pu4Al
1.0
-1.007 4.232 3.350
-0.298 -3.446 4.264
5.389 0.600 0.862
Al Pu
1 4
direct
0.500 0.500 0.500
0.500 0.500 0.000
0.000 0.000 0.000
0.500 0.000 0.500
0.000 0.500 0.500
```

Values from the calculation:
Crystal system: cubic
Total magnetization, μB per formula unit: 12.5
Energy of formation from the pure elements, eV per formula unit: 4.42

---

[2]
This record from the Alexandria database describes a relaxed La3ZnGa2Pd6 crystal. The functional is PBE-GGA.

Structure (POSCAR):
```
La3ZnGa2Pd6
1.0
-3.231 -1.652 4.484
5.642 -1.195 -0.085
1.671 7.605 4.007
Pd Zn La Ga
6 1 3 2
direct
0.173 0.827 0.279
0.827 0.173 0.721
0.173 0.345 0.279
0.345 0.173 0.721
0.827 0.655 0.721
0.655 0.827 0.279
0.000 0.000 0.500
0.667 0.333 0.370
0.333 0.667 0.630
0.000 0.000 0.000
0.667 0.333 0.972
0.333 0.667 0.028
```

Values from the calculation:
Crystal system: trigonal
Total magnetization, μB per formula unit: 0.0
Energy of formation from the pure elements, eV per formula unit: -8.48

---

[3]
This record from the Alexandria database describes a relaxed PrSmTmAg crystal. The functional is PBE-GGA.

Structure (POSCAR):
```
PrSmTmAg
1.0
-3.038 -0.802 1.884
1.890 -2.395 2.028
1.872 6.306 5.703
Ag Sm Pr Tm
1 1 1 1
direct
0.000 0.000 0.558
0.500 0.500 0.781
0.000 0.000 0.078
0.500 0.500 0.367
```

Values from the calculation:
Crystal system: tetragonal
Total magnetization, μB per formula unit: 0.0
Energy of formation from the pure elements, eV per formula unit: -0.52